(1)
Here is a geometry-optimized NpClO2 structure from Alexandria. Energies are from GGA-PBE.

```
NpClO2
1.0
1.8407 1.0627 5.2905
-1.8407 1.0627 5.2905
0.0000 -2.1254 5.2905
Np Cl O
1 1 2
Direct
0.0000 0.0000 0.0000
0.5000 0.5000 0.5000
0.2947 0.2947 0.2947
0.7053 0.7053 0.7053
```

SG: No. 166
Magnetic moment in μB per formula unit: 2.000
VASP energy in Ry/atom: -0.6164
Formation energy without anion corrections in eV per atom: -2.210

=====

(2)
Here is a geometry-optimized NpClO2 structure from Alexandria. Energies are from GGA-PBE.

```
NpClO2
1.0
2.7037 -5.0321 0.0000
2.7037 5.0321 0.0000
0.0000 0.0000 3.3567
Np Cl O
1 1 2
Direct
0.0000 0.0000 0.0000
0.5000 0.5000 0.0000
0.1224 0.8776 0.5000
0.8776 0.1224 0.5000
```

SG: No. 65
Magnetic moment in μB per formula unit: 2.000
VASP energy in Ry/atom: -0.6270
Formation energy without anion corrections in eV per atom: -2.355

=====

(3)
Here is a geometry-optimized NpCl2O2 structure from Alexandria. Energies are from GGA-PBE.

```
NpCl2O2
1.0
6.0127 0.0000 0.0000
-0.6568 6.5771 0.0000
-1.1908 -1.2059 6.9999
Np Cl O
2 4 4
Direct
0.0029 0.2624 0.3683
0.9971 0.7376 0.6317
0.2386 0.1131 0.6640
0.2507 0.6567 0.9161
0.7493 0.3433 0.0839
0.7614 0.8869 0.3360
0.1715 0.6113 0.4678
0.1916 0.1589 0.2253
0.8084 0.8411 0.7747
0.8285 0.3887 0.5322
```

SG: No. 2
Magnetic moment in μB per formula unit: 1.000
VASP energy in Ry/atom: -0.5401
Formation energy without anion corrections in eV per atom: -2.038

=====

(4)
Here is a geometry-optimized Np3Cl2O8 structure from Alexandria. Energies are from GGA-PBE.

```
Np3Cl2O8
1.0
6.2000 -3.3359 0.0000
6.2000 3.3359 0.0000
-0.9075 0.0000 6.9464
Np Cl O
3 2 8
Direct
0.0000 0.0000 0.0000
0.2484 0.7516 0.5000
0.7516 0.2484 0.5000
0.2033 0.2033 0.0510
0.7967 0.7967 0.9490
0.1010 0.1010 0.5217
0.2225 0.7748 0.2017
0.2252 0.7775 0.7983
0.4002 0.4002 0.4798
0.5998 0.5998 0.5202
0.7748 0.2225 0.2017
0.7775 0.2252 0.7983
0.8990 0.8990 0.4783
```

SG: No. 12
Magnetic moment in μB per formula unit: 3.000
VASP energy in Ry/atom: -0.6396
Formation energy without anion corrections in eV per atom: -2.381

=====

(5)
Here is a geometry-optimized NpCl4O structure from Alexandria. Energies are from GGA-PBE.

```
NpCl4O
1.0
-4.8918 4.8918 2.0453
4.8918 -4.8918 2.0453
4.8918 4.8918 -2.0453
Np Cl O
1 4 1
Direct
0.0000 0.0000 0.0000
0.0577 0.7545 0.8122
0.2455 0.0577 0.3032
0.7545 0.9423 0.6968
0.9423 0.2455 0.1878
0.5000 0.5000 0.0000
```

SG: No. 87
Magnetic moment in μB per formula unit: 1.000
VASP energy in Ry/atom: -0.4304
Formation energy without anion corrections in eV per atom: -1.642

=====

(6)
Here is a geometry-optimized NpCl3O structure from Alexandria. Energies are from GGA-PBE.

```
NpCl3O
1.0
-3.6538 5.2068 4.2998
3.6538 -5.2068 4.2998
3.6538 5.2068 -4.2998
Np Cl O
2 6 2
Direct
0.5000 0.0000 0.0000
0.5000 0.5000 0.5000
0.2610 0.0000 0.7610
0.2610 0.5000 0.2610
0.2688 0.0188 0.2500
0.7312 0.9812 0.7500
0.7390 0.0000 0.2390
0.7390 0.5000 0.7390
0.3894 0.6394 0.7500
0.6106 0.3606 0.2500
```

SG: No. 74
Magnetic moment in μB per formula unit: 2.000
VASP energy in Ry/atom: -0.4804
Formation energy without anion corrections in eV per atom: -1.848

=====

(7)
Here is a geometry-optimized Np2ClO7 structure from Alexandria. Energies are from GGA-PBE.

```
Np2ClO7
1.0
4.5670 -6.6494 0.0000
4.5670 6.6494 0.0000
0.0000 0.0000 4.1073
Np Cl O
2 1 7
Direct
0.2302 0.2302 0.0000
0.7698 0.7698 0.0000
0.5000 0.5000 0.5000
0.0000 0.0000 0.0000
0.1164 0.3833 0.0000
0.1923 0.1923 0.5000
0.3833 0.1164 0.0000
0.6167 0.8836 0.0000
0.8077 0.8077 0.5000
0.8836 0.6167 0.0000
```

SG: No. 65
Magnetic moment in μB per formula unit: 0.000
VASP energy in Ry/atom: -0.6073
Formation energy without anion corrections in eV per atom: -2.020

=====

(8)
Here is a geometry-optimized NpCl2O structure from Alexandria. Energies are from GGA-PBE.

```
NpCl2O
1.0
0.0000 4.2233 4.6717
4.1578 0.0000 4.6717
4.1578 4.2233 0.0000
Np Cl O
2 4 2
Direct
0.1984 0.8016 0.8016
0.8016 0.1984 0.1984
0.2500 0.2500 0.2500
0.3244 0.6756 0.3244
0.6756 0.3244 0.6756
0.7500 0.7500 0.7500
0.1310 0.1310 0.8690
0.8690 0.8690 0.1310
```

SG: No. 69
Magnetic moment in μB per formula unit: 3.000
VASP energy in Ry/atom: -0.5287
Formation energy without anion corrections in eV per atom: -1.795

=====

(9)
Here is a geometry-optimized NpClO2 structure from Alexandria. Energies are from GGA-PBE.

```
NpClO2
1.0
1.7210 -5.2752 0.0000
1.7210 5.2752 0.0000
-1.1476 0.0000 8.5745
Np Cl O
2 2 4
Direct
0.1842 0.8158 0.7500
0.8158 0.1842 0.2500
0.0737 0.9263 0.2500
0.9263 0.0737 0.7500
0.2885 0.6296 0.3956
0.3704 0.7115 0.1044
0.6296 0.2885 0.8956
0.7115 0.3704 0.6044
```

SG: No. 15
Magnetic moment in μB per formula unit: 2.000
VASP energy in Ry/atom: -0.6281
Formation energy without anion corrections in eV per atom: -2.369

=====

(10)
Here is a geometry-optimized NpPClO6 structure from Alexandria. Energies are from GGA-PBE.

```
NpPClO6
1.0
2.5555 -4.4259 0.0000
2.5555 4.4259 0.0000
-0.0085 0.0000 7.3515
Np P Cl O
1 1 1 6
Direct
0.0000 0.0000 0.0000
0.6667 0.3333 0.0000
0.3333 0.6667 0.5000
0.3812 0.0629 0.8676
0.3816 0.3185 0.1325
0.6819 0.0634 0.1324
0.6815 0.6184 0.8675
0.9366 0.3181 0.8676
0.9371 0.6188 0.1324
```

SG: No. 5
Magnetic moment in μB per formula unit: 0.926
VASP energy in Ry/atom: -0.5227
Formation energy without anion corrections in eV per atom: -1.562

=====

(11)
Here is a geometry-optimized NpPb2Cl3O3 structure from Alexandria. Energies are from GGA-PBE.

```
NpPb2Cl3O3
1.0
8.1397 0.0000 0.0000
-4.0698 7.0492 0.0000
0.0000 0.0000 3.2873
Np Pb Cl O
1 2 3 3
Direct
0.0000 0.0000 0.0000
0.3333 0.6667 0.5000
0.6667 0.3333 0.5000
0.0000 0.4238 0.0000
0.4238 0.0000 0.0000
0.5762 0.5762 0.0000
0.0000 0.8210 0.5000
0.1790 0.1790 0.5000
0.8210 0.0000 0.5000
```

SG: No. 189
Magnetic moment in μB per formula unit: 1.480
VASP energy in Ry/atom: -0.4409
Formation energy without anion corrections in eV per atom: -1.468

=====

(12)
Here is a geometry-optimized Pm3NpCl2O6 structure from Alexandria. Energies are from GGA-PBE.

```
Pm3NpCl2O6
1.0
6.1873 -3.4559 0.0000
6.1873 3.4559 0.0000
-1.0489 0.0000 5.4266
Pm Np Cl O
3 1 2 6
Direct
0.0000 0.0000 0.0000
0.0000 0.5000 0.5000
0.5000 0.0000 0.5000
0.5000 0.5000 0.5000
0.2011 0.2011 0.8518
0.7989 0.7989 0.1482
0.1900 0.6803 0.7043
0.3197 0.8100 0.2957
0.3332 0.3332 0.3358
0.6668 0.6668 0.6642
0.6803 0.1900 0.7043
0.8100 0.3197 0.2957
```

SG: No. 12
Magnetic moment in μB per formula unit: 2.000
VASP energy in Ry/atom: -0.5773
Formation energy without anion corrections in eV per atom: -2.802

=====

(13)
Here is a geometry-optimized Pr3NpCl2O6 structure from Alexandria. Energies are from GGA-PBE.

```
Pr3NpCl2O6
1.0
6.2771 -3.4931 0.0000
6.2771 3.4931 0.0000
-1.0127 0.0000 5.4824
Pr Np Cl O
3 1 2 6
Direct
0.0000 0.0000 0.0000
0.0000 0.5000 0.5000
0.5000 0.0000 0.5000
0.5000 0.5000 0.5000
0.2034 0.2034 0.8600
0.7966 0.7966 0.1400
0.1928 0.6787 0.7022
0.3213 0.8072 0.2978
0.3369 0.3369 0.3358
0.6631 0.6631 0.6642
0.6787 0.1928 0.7022
0.8072 0.3213 0.2978
```

SG: No. 12
Magnetic moment in μB per formula unit: 2.001
VASP energy in Ry/atom: -0.5739
Formation energy without anion corrections in eV per atom: -2.749

=====

(14)
Here is a geometry-optimized Rb2NpCl2O2 structure from Alexandria. Energies are from GGA-PBE.

```
Rb2NpCl2O2
1.0
-2.2113 2.2113 8.6807
2.2113 -2.2113 8.6807
2.2113 2.2113 -8.6807
Rb Np Cl O
2 1 2 2
Direct
0.1340 0.1340 0.0000
0.8660 0.8660 0.0000
0.5000 0.5000 0.0000
0.3360 0.3360 0.0000
0.6640 0.6640 0.0000
0.0000 0.5000 0.5000
0.5000 0.0000 0.5000
```

SG: No. 139
Magnetic moment in μB per formula unit: 3.000
VASP energy in Ry/atom: -0.4636
Formation energy without anion corrections in eV per atom: -2.238

=====

(15)
Here is a geometry-optimized Rb2NpCl3O3 structure from Alexandria. Energies are from GGA-PBE.

```
Rb2NpCl3O3
1.0
8.5633 0.0000 0.0000
-4.2817 7.4161 0.0000
0.0000 0.0000 3.2819
Rb Np Cl O
2 1 3 3
Direct
0.3333 0.6667 0.0000
0.6667 0.3333 0.0000
0.0000 0.0000 0.5000
0.0000 0.3558 0.5000
0.3558 0.0000 0.5000
0.6442 0.6442 0.5000
0.0000 0.8386 0.0000
0.1614 0.1614 0.0000
0.8386 0.0000 0.0000
```

SG: No. 189
Magnetic moment in μB per formula unit: 0.249
VASP energy in Ry/atom: -0.4169
Formation energy without anion corrections in eV per atom: -1.751

=====

(16)
Here is a geometry-optimized NpSeCl2O6 structure from Alexandria. Energies are from GGA-PBE.

```
NpSeCl2O6
1.0
5.3500 0.0000 0.0000
0.1784 5.5149 0.0000
1.1038 0.9641 6.6750
Np Se Cl O
1 1 2 6
Direct
0.0000 0.0000 0.0000
0.5000 0.5000 0.0000
0.3950 0.6317 0.5609
0.6050 0.3683 0.4391
0.1362 0.0020 0.7410
0.2382 0.6959 0.0889
0.2909 0.2428 0.0474
0.7091 0.7572 0.9526
0.7618 0.3041 0.9111
0.8638 0.9980 0.2590
```

SG: No. 2
Magnetic moment in μB per formula unit: 0.000
VASP energy in Ry/atom: -0.4472
Formation energy without anion corrections in eV per atom: -1.098

=====

(17)
Here is a geometry-optimized Sm3NpCl2O6 structure from Alexandria. Energies are from GGA-PBE.

```
Sm3NpCl2O6
1.0
6.1569 -3.4418 0.0000
6.1569 3.4418 0.0000
-1.0586 0.0000 5.4084
Sm Np Cl O
3 1 2 6
Direct
0.0000 0.0000 0.0000
0.0000 0.5000 0.5000
0.5000 0.0000 0.5000
0.5000 0.5000 0.5000
0.2004 0.2004 0.8492
0.7996 0.7996 0.1508
0.1891 0.6808 0.7051
0.3192 0.8109 0.2949
0.3320 0.3320 0.3355
0.6680 0.6680 0.6645
0.6808 0.1891 0.7051
0.8109 0.3192 0.2949
```

SG: No. 12
Magnetic moment in μB per formula unit: 2.000
VASP energy in Ry/atom: -0.5777
Formation energy without anion corrections in eV per atom: -2.814

=====

(18)
Here is a geometry-optimized Sr3NpCl2O6 structure from Alexandria. Energies are from GGA-PBE.

```
Sr3NpCl2O6
1.0
6.4380 -3.5697 0.0000
6.4380 3.5697 0.0000
-0.5233 0.0000 5.4751
Sr Np Cl O
3 1 2 6
Direct
0.0000 0.0000 0.0000
0.0000 0.5000 0.5000
0.5000 0.0000 0.5000
0.5000 0.5000 0.5000
0.2074 0.2074 0.8821
0.7926 0.7926 0.1179
0.2211 0.6680 0.6935
0.3320 0.7789 0.3065
0.3566 0.3566 0.3417
0.6434 0.6434 0.6583
0.6680 0.2211 0.6935
0.7789 0.3320 0.3065
```

SG: No. 12
Magnetic moment in μB per formula unit: 1.046
VASP energy in Ry/atom: -0.4937
Formation energy without anion corrections in eV per atom: -2.431

=====

(19)
Here is a geometry-optimized Tb3NpCl2O6 structure from Alexandria. Energies are from GGA-PBE.

```
Tb3NpCl2O6
1.0
6.0550 -3.3903 0.0000
6.0550 3.3903 0.0000
-1.0930 0.0000 5.3411
Tb Np Cl O
3 1 2 6
Direct
0.0000 0.0000 0.0000
0.0000 0.5000 0.5000
0.5000 0.0000 0.5000
0.5000 0.5000 0.5000
0.1979 0.1979 0.8410
0.8021 0.8021 0.1590
0.1857 0.6826 0.7076
0.3174 0.8143 0.2924
0.3278 0.3278 0.3354
0.6722 0.6722 0.6646
0.6826 0.1857 0.7076
0.8143 0.3174 0.2924
```

SG: No. 12
Magnetic moment in μB per formula unit: 2.000
VASP energy in Ry/atom: -0.5808
Formation energy without anion corrections in eV per atom: -2.879

=====

(20)
Here is a geometry-optimized NpTl2Cl4O2 structure from Alexandria. Energies are from GGA-PBE.

```
NpTl2Cl4O2
1.0
5.8749 -3.7788 0.0000
5.8749 3.7788 0.0000
-0.6750 0.0000 5.5560
Np Tl Cl O
1 2 4 2
Direct
0.0000 0.0000 0.0000
0.3290 0.3290 0.7083
0.6710 0.6710 0.2917
0.1458 0.6347 0.2089
0.3653 0.8542 0.7911
0.6347 0.1458 0.2089
0.8542 0.3653 0.7911
0.1134 0.1134 0.2439
0.8866 0.8866 0.7561
```

SG: No. 12
Magnetic moment in μB per formula unit: 1.000
VASP energy in Ry/atom: -0.4073
Formation energy without anion corrections in eV per atom: -1.655

=====

Number 1: density 8.142 g/cm³. Number 2: density 5.535 g/cm³. Number 3: density 4.078 g/cm³. Number 4: density 5.258 g/cm³. Number 5: density 3.349 g/cm³. Number 6: density 3.647 g/cm³. Number 7: density 4.137 g/cm³. Number 8: density 6.557 g/cm³. Number 9: density 6.494 g/cm³. Number 10: density 3.988 g/cm³. Number 11: density 7.094 g/cm³. Number 12: density 6.003 g/cm³. Number 13: density 5.709 g/cm³. Number 14: density 4.996 g/cm³. Number 15: density 4.480 g/cm³. Number 16: density 4.071 g/cm³. Number 17: density 6.194 g/cm³. Number 18: density 4.400 g/cm³. Number 19: density 6.669 g/cm³. Number 20: density 5.517 g/cm³.